! PBE-GGA Pu6HgGe, relaxed; values from VASP
! Volume: 199.7 Å³/cell
! DOS(E_F): 32.8 states/eV per cell
! Total DFT energy (no corrections): -11.4261 eV/atom
! Density: 14.4 g/cm³
! ΔH_f (0 K): -0.062 eV/atom
! Space-group type: No. 123
&SYSTEM
  ibrav = 0, nat = 8, ntyp = 3
/
ATOMIC_SPECIES
Pu 244.00 Pu.upf
Hg 200.59 Hg.upf
Ge 72.64 Ge.upf
ATOMIC_POSITIONS angstrom
Pu 2.306 2.306 0.000
Pu 2.306 2.306 4.692
Pu 2.306 0.000 2.450
Pu 2.306 0.000 6.934
Pu 0.000 2.306 2.450
Pu 0.000 2.306 6.934
Hg 0.000 0.000 0.000
Ge 0.000 0.000 4.692
CELL_PARAMETERS angstrom
4.613 0.000 0.000
0.000 4.613 0.000
0.000 0.000 9.384